This record from Alexandria describes a relaxed structure of CrGeIrO6. The functional is GGA+U.

Cell and atoms, written as POSCAR:
```
CrGeIrO6
1.0
4.530 0.000 0.000
0.000 4.530 0.000
0.000 0.000 9.148
Cr Ge Ir O
2 2 2 12
Direct
0.000 0.000 0.000
0.500 0.500 0.500
0.000 0.000 0.332
0.500 0.500 0.832
0.000 0.000 0.666
0.500 0.500 0.166
0.191 0.191 0.496
0.193 0.193 0.170
0.199 0.199 0.834
0.301 0.699 0.334
0.307 0.693 0.670
0.309 0.691 0.996
0.691 0.309 0.996
0.693 0.307 0.670
0.699 0.301 0.334
0.801 0.801 0.834
0.807 0.807 0.170
0.809 0.809 0.496
```

Calculated values
The value obtained for the energy is -6.9862 eV/atom. The calculation puts the calculated density at 7.3 g cm⁻³.